ErUIrRu | PBE | relaxed

Cell: 4.8041 4.8041 4.8041 Å, 60.00 60.00 60.00°
Each line ends with the local moment (μB).
Positions (direct):
1 Er 0.5000 0.5000 0.5000  0.12
2 Ir 0.7500 0.7500 0.7500  -0.07
3 Ru 0.2500 0.2500 0.2500  -0.20
4 U 0.0000 0.0000 0.0000  1.98

Computed properties:
Spin magnetization: 2.013 μB per formula unit
Symmetry: F-43m (216)
DFT total energy: -8.934 eV per atom
ΔE_f: -1.75 eV/f.u.